# In2HgS2

A geometry-optimized In2HgS2 structure (PBE, Alexandria).

The structure in POSCAR format:
```
In2HgS2
1.0
3.8279 0.0000 -0.6930
-0.1043 5.9632 -0.5760
0.2518 2.3666 12.3106
Hg S In
2 4 4
direct
0.2791 0.6876 0.5581
0.7209 0.3124 0.4419
0.8205 0.0800 0.6410
0.1795 0.9200 0.3590
0.4466 0.3930 0.8931
0.5534 0.6070 0.1069
0.6468 0.6920 0.2935
0.9637 0.7725 0.9274
0.0363 0.2275 0.0726
0.3532 0.3080 0.7065
```

Computed properties:
Its uncorrected formation energy is -0.26 eV/atom. The total moment is 0.0 μB/f.u. The polymorph energy (0 for the lowest one) comes out at 4.9 kJ/mol of atoms. The theoretical density is 5.71 Mg/m³. As for the space group: C2/m. The volume comes out at 287.4 Å³/cell. The total energy comes out at -3.07 eV/atom.


# La2PrSm3Ho6

A geometry-optimized La2PrSm3Ho6 structure (PBE, Alexandria).

The structure in POSCAR format:
```
La2PrSm3Ho6
1.0
-4.3979 -1.0131 4.3412
6.0365 0.2220 1.6508
-1.4487 11.7382 -0.2299
Ho Sm La Pr
6 3 2 1
direct
0.9154 0.5825 0.7470
0.0846 0.4175 0.2530
0.4175 0.0846 0.2530
0.5825 0.9154 0.7470
0.7518 0.7518 0.2530
0.2482 0.2482 0.7470
0.5000 0.5000 0.5000
0.1665 0.8335 0.5000
0.8335 0.1665 0.5000
0.3334 0.6666 0.0000
0.6666 0.3334 0.0000
0.0000 0.0000 0.0000
```

Computed properties:
The total moment is 0.0 μB/f.u. The theoretical density is 7.81 Mg/m³. As for the space group: C2/m. The energy of formation is 16 meV/atom. The volume comes out at 395.5 Å³/cell. The total energy comes out at -4.67 eV/atom.